(1)
## LuCo4Tc (GGA-PBE)

Data for crystalline LuCo4Tc at its relaxed geometry.

Cell lengths 4.874, 4.874, 4.874 Å; angles 60.00, 60.00, 60.00 degrees
Last column: magnetic moment on the atom in μB.
Fractional positions:
Lu 0.250 0.250 0.250  -0.14
Co 0.625 0.625 0.124  1.65
Co 0.625 0.124 0.625  1.65
Co 0.625 0.625 0.625  1.65
Co 0.124 0.625 0.625  1.65
Tc 0.000 0.000 0.000  1.54

Output
Energy of formation from the pure elements: -0.2 eV/f.u.
Symmetry: No. 216
Calculated volume: 82 Å³ per cell
Electronic total energy: -43.54 eV/cell


(2)
## Nd3Ni8Ag (GGA-PBE)

Data for crystalline Nd3Ni8Ag at its relaxed geometry.

Cell lengths 5.082, 5.082, 8.869 Å; angles 73.35, 73.35, 60.00 degrees
Fractional positions:
Nd 0.377 0.377 0.868
Nd 0.992 0.992 0.025
Nd 0.506 0.506 0.481
Ni 0.940 0.436 0.189
Ni 0.441 0.938 0.684
Ni 0.436 0.436 0.189
Ni 0.938 0.938 0.684
Ni 0.188 0.188 0.436
Ni 0.688 0.688 0.937
Ni 0.436 0.940 0.189
Ni 0.938 0.441 0.684
Ag 0.872 0.872 0.385

Output
Energy of formation from the pure elements: -3.4 eV/f.u.
Symmetry: No. 160
Calculated volume: 187 Å³ per cell
Electronic total energy: -66.77 eV/cell


(3)
## SmScHg3 (GGA-PBE)

Data for crystalline SmScHg3 at its relaxed geometry.

Cell lengths 6.327, 6.941, 6.941 Å; angles 120.00, 90.00, 90.00 degrees
Fractional positions:
Sm 0.250 0.334 0.666
Sm 0.750 0.666 0.334
Sc 0.000 0.000 0.000
Sc 0.500 0.000 0.000
Hg 0.250 0.805 0.195
Hg 0.750 0.195 0.805
Hg 0.250 0.805 0.610
Hg 0.750 0.195 0.390
Hg 0.250 0.390 0.195
Hg 0.750 0.610 0.805

Output
Energy of formation from the pure elements: -1.3 eV/f.u.
Symmetry: No. 194
Calculated volume: 264 Å³ per cell
Electronic total energy: -26.54 eV/cell
Energy relative to the lowest polymorph listed for this composition: 0.1241 eV per atom


(4)
## NdAl7Ag5 (GGA-PBE)

Data for crystalline NdAl7Ag5 at its relaxed geometry.

Cell lengths 5.564, 7.087, 7.087 Å; angles 82.40, 66.89, 66.89 degrees
Fractional positions:
Nd 0.998 0.002 0.002
Al 0.643 0.357 0.357
Al 0.351 0.649 0.649
Al 0.995 0.357 0.652
Al 0.995 0.652 0.357
Al 0.278 0.222 0.222
Al 0.505 0.783 0.207
Al 0.505 0.207 0.783
Ag 0.501 0.006 0.488
Ag 0.004 0.006 0.488
Ag 0.501 0.488 0.006
Ag 0.004 0.488 0.006
Ag 0.717 0.783 0.783

Output
Energy of formation from the pure elements: -2.5 eV/f.u.
Symmetry: No. 44
Calculated volume: 236 Å³ per cell
Electronic total energy: -47.76 eV/cell


(5)
## Ca2AlSe (GGA-PBE)

Data for crystalline Ca2AlSe at its relaxed geometry.

Cell lengths 3.658, 3.658, 8.355 Å; angles 90.00, 90.00, 89.95 degrees
Fractional positions:
Ca 0.000 0.000 0.947
Ca 0.500 0.500 0.328
Al 0.500 0.500 0.715
Se 0.000 0.000 0.510

Output
Symmetry: No. 99
Calculated volume: 112 Å³ per cell
Formation energy without anion corrections: -44.95 kJ/mol of atoms
Electronic total energy: -13.09 eV/cell
Energy relative to the lowest polymorph listed for this composition: 0.4168 eV per atom


(6)
## Tb6Pm3Ho2Er (GGA-PBE)

Data for crystalline Tb6Pm3Ho2Er at its relaxed geometry.

Cell lengths 6.187, 6.187, 11.835 Å; angles 94.98, 94.98, 119.98 degrees
Fractional positions:
Tb 0.918 0.584 0.754
Tb 0.749 0.749 0.246
Tb 0.082 0.416 0.246
Tb 0.584 0.918 0.754
Tb 0.251 0.251 0.754
Tb 0.416 0.082 0.246
Pm 0.167 0.833 0.500
Pm 0.833 0.167 0.500
Pm 0.500 0.500 0.500
Ho 0.333 0.667 0.000
Ho 0.667 0.333 0.000
Er 0.000 0.000 0.000

Output
Energy of formation from the pure elements: 0.2 eV/f.u.
Symmetry: No. 12
Calculated volume: 386 Å³ per cell
Electronic total energy: -55.56 eV/cell


What did the third record say?
## SmScHg3 (GGA-PBE)

Data for crystalline SmScHg3 at its relaxed geometry.

Cell lengths 6.327, 6.941, 6.941 Å; angles 120.00, 90.00, 90.00 degrees
Fractional positions:
Sm 0.250 0.334 0.666
Sm 0.750 0.666 0.334
Sc 0.000 0.000 0.000
Sc 0.500 0.000 0.000
Hg 0.250 0.805 0.195
Hg 0.750 0.195 0.805
Hg 0.250 0.805 0.610
Hg 0.750 0.195 0.390
Hg 0.250 0.390 0.195
Hg 0.750 0.610 0.805

Output
Energy of formation from the pure elements: -1.3 eV/f.u.
Symmetry: No. 194
Calculated volume: 264 Å³ per cell
Electronic total energy: -26.54 eV/cell
Energy relative to the lowest polymorph listed for this composition: 0.1241 eV per atom